Material: LaTbMg6
Method: DFT, GGA-PBE
State: optimized geometry

Lattice parameters (Å, degrees): 5.237 6.804 6.804 119.88 90.00 90.00
Sites, in units of the cell vectors:
Mg 0.000 0.587 0.922
Mg 0.500 0.910 0.090
Mg 0.000 0.078 0.413
Mg 0.000 0.585 0.415
Mg 0.500 0.430 0.091
Mg 0.500 0.909 0.570
Tb 0.500 0.416 0.584
La 0.000 0.084 0.916

Output
Magnetic moment: 0.0 μB per formula unit
Density: 3.50 Mg/m³
Energy of formation: -0.65 eV per formula unit
Uncorrected energy: -2.472 eV/atom
Crystal system: orthorhombic
Symmetry: No. 38

Material: NiHg2Pd8
Method: DFT, GGA-PBE
State: optimized geometry

Lattice parameters (Å, degrees): 4.058 6.343 7.445 74.40 74.18 90.00
Site moments in Bohr magnetons follow the coordinates.
Sites, in units of the cell vectors:
Pd 0.173 0.908 0.623  0.11
Pd 0.913 0.560 0.144  0.11
Pd 0.540 0.729 0.888  0.16
Pd 0.368 0.830 0.233  0.10
Pd 0.826 0.093 0.316  0.11
Pd 0.631 0.170 0.706  0.10
Pd 0.459 0.272 0.052  0.16
Pd 0.086 0.440 0.796  0.11
Hg 0.723 0.648 0.522  -0.01
Hg 0.276 0.353 0.418  -0.01
Ni 0.000 0.000 0.970  0.91

Output
Magnetic moment: 1.8 μB per formula unit
Density: 12.30 Mg/m³
Energy of formation: -0.44 eV per formula unit
Uncorrected energy: -4.397 eV/atom
Crystal system: monoclinic
Symmetry: No. 12

Material: CrFeBr2
Method: DFT, GGA-PBE
State: optimized geometry

Lattice parameters (Å, degrees): 4.392 4.392 4.392 60.00 60.00 60.00
Sites, in units of the cell vectors:
Cr 0.000 0.000 0.000
Br 0.250 0.250 0.250
Br 0.750 0.750 0.750
Fe 0.500 0.500 0.500

Output
Magnetic moment: 0.0 μB per formula unit
Density: 7.42 Mg/m³
E_form (uncorrected): 1.048 eV/atom
Uncorrected energy: -4.310 eV/atom
Crystal system: cubic
Symmetry: No. 225